VASP calculation (GGA-PBE) on a relaxed MgBeAu3 crystal.

a = 6.4703 Å, b = 6.4703 Å, c = 4.6295 Å
α = 90.00°, β = 90.00°, γ = 120.00°
Fractional coordinates of all 10 atoms:
Mg: 0.3333 0.6667 0.2500
Mg: 0.6667 0.3333 0.7500
Be: 0.0000 0.0000 0.0000
Be: 0.0000 0.0000 0.5000
Au: 0.1856 0.3712 0.7500
Au: 0.1856 0.8144 0.7500
Au: 0.3712 0.1856 0.2500
Au: 0.6288 0.8144 0.7500
Au: 0.8144 0.1856 0.2500
Au: 0.8144 0.6288 0.2500

Properties
ΔE_f: -313.7 meV/atom
Energy: -3.344 eV per atom
Calculated volume: 16.78 Å³/atom